# Mg2ScHg | Alexandria | SCAN | single point on PBEsol structure
# Crystal system: orthorhombic
# M_tot in μB/f.u.: 0.08
# DFT total energy in eV/atom: -23.387
# ΔH_f (0 K) in eV/atom: -0.300
data_Mg2ScHg
_symmetry_space_group_name_H-M 'A m m 2'
_symmetry_Int_Tables_number 38
_symmetry_space_group_name_Hall 'A 2 -2'
_cell_length_a 4.6106
_cell_length_b 3.2090
_cell_length_c 11.6549
_cell_angle_alpha 90.00
_cell_angle_beta 90.00
_cell_angle_gamma 90.00
loop_
_atom_site_label
_atom_site_type_symbol
_atom_site_fract_x
_atom_site_fract_y
_atom_site_fract_z
Mg1 Mg 0.0000 0.0000 0.0000
Mg2 Mg 0.5000 0.0000 0.3929
Sc1 Sc 0.5000 0.0000 0.6573
Hg1 Hg 0.0000 0.0000 0.2514